Computed, not measured: a geometry-optimized La8Ir3Au3O structure at the PBE level of DFT.

```
data_La8Ir3Au3O
_symmetry_space_group_name_H-M 'C 1 2/m 1'
_symmetry_Int_Tables_number 12
_cell_length_a 14.451
_cell_length_b 8.358
_cell_length_c 8.681
_cell_angle_alpha 90.00
_cell_angle_beta 123.69
_cell_angle_gamma 90.00
loop_
_symmetry_equiv_pos_as_xyz
'x,y,z'
'-x,-y,-z'
'-x,y,-z'
'x,-y,z'
'x+1/2,y+1/2,z'
'-x+1/2,-y+1/2,-z'
'-x+1/2,y+1/2,-z'
'x+1/2,-y+1/2,z'
loop_
_atom_site_label
_atom_site_type_symbol
_atom_site_fract_x
_atom_site_fract_y
_atom_site_fract_z
La1 La 0.010 0.240 0.290
La2 La 0.229 0.000 0.710
La3 La 0.241 0.500 0.723
Ir1 Ir 0.000 0.500 0.500
Ir2 Ir 0.250 0.250 0.500
Au1 Au 0.000 0.000 0.000
Au2 Au 0.250 0.250 0.000
O1 O 0.000 0.000 0.500
```

Computed properties:
Total magnetization ... 0.000 μB/f.u.
Uncorrected formation energy ... -22.2 kcal/mol of atoms
Density of states at the Fermi level ... 0.5390 states/eV/atom
Total DFT energy (no corrections) ... -95.26 eV/f.u.